NpPaNiPd GGA-PBE relaxed; DOS(E_F) = 3.8 states/eV/cell; ρ = 14.839 Mg/m³; electronic total energy = -8.709 eV per atom
1.0
4.645 0.000 0.000
2.322 4.022 0.000
2.322 1.341 3.792
Ni Pd Pa Np
1 1 1 1
direct
0.500 0.500 0.500
0.250 0.250 0.250
0.750 0.750 0.750
0.000 0.000 0.000